[1]
Crystalline Li2GaNiH at its relaxed geometry. Source: the Alexandria database, functional PBE-GGA.

Cell lengths 3.8585, 3.8585, 3.5244 Å; angles 90.00, 90.00, 90.00 degrees
Space group P4/mmm (No. 123)
Symmetry-distinct sites (fractional):
Li: 0.0000 0.5000 0.0000 [2 per cell]
Ga: 0.0000 0.0000 0.5000 [1 per cell]
Ni: 0.5000 0.5000 0.5000 [1 per cell]
H: 0.5000 0.5000 0.0000 [1 per cell]

Summary:
Its magnetic moment is 0.00 Bohr magnetons per cell.

[2]
Crystalline LiGaNi2H at its relaxed geometry. Source: the Alexandria database, functional PBE-GGA.

Cell lengths 3.6430, 3.6430, 3.6419 Å; angles 90.00, 90.00, 90.00 degrees
Space group P4/mmm (No. 123)
Symmetry-distinct sites (fractional):
Li: 0.0000 0.0000 0.0000 [1 per cell]
Ga: 0.5000 0.5000 0.0000 [1 per cell]
Ni: 0.0000 0.5000 0.5000 [2 per cell]
H: 0.0000 0.0000 0.5000 [1 per cell]

Summary:
Its magnetic moment is 0.00 Bohr magnetons per cell.

[3]
Crystalline LiGa2PH at its relaxed geometry. Source: the Alexandria database, functional PBE-GGA.

Cell lengths 4.7826, 4.7826, 4.2013 Å; angles 90.00, 90.00, 90.00 degrees
Space group P4/mmm (No. 123)
Symmetry-distinct sites (fractional):
Li: 0.0000 0.0000 0.0000 [1 per cell]
Ga: 0.0000 0.5000 0.0000 [2 per cell]
P: 0.0000 0.0000 0.5000 [1 per cell]
H: 0.5000 0.5000 0.5000 [1 per cell]

Summary:
Its magnetic moment is 0.60 Bohr magnetons per cell.

[4]
Crystalline LiGa2HPb at its relaxed geometry. Source: the Alexandria database, functional PBE-GGA.

Cell lengths 4.4717, 4.4717, 4.3682 Å; angles 90.00, 90.00, 90.00 degrees
Space group P4/mmm (No. 123)
Symmetry-distinct sites (fractional):
Li: 0.0000 0.0000 0.0000 [1 per cell]
Ga: 0.0000 0.5000 0.5000 [2 per cell]
H: 0.0000 0.0000 0.5000 [1 per cell]
Pb: 0.5000 0.5000 0.0000 [1 per cell]

Summary:
Its magnetic moment is 0.00 Bohr magnetons per cell.

Number 1: DFT total energy -3.448 eV per atom. Number 2: DFT total energy -4.302 eV per atom. Number 3: DFT total energy -2.621 eV per atom. Number 4: DFT total energy -2.982 eV per atom.